(A)
Density functional theory data (GGA-PBE) for a geometry-optimized Pr12SmEr6 structure.

Structure (POSCAR):
```
Pr12SmEr6
1.0
8.898 0.120 -2.740
-3.742 8.074 -2.740
0.076 0.120 9.310
Pr Er Sm
12 6 1
Cartesian
2.037 1.228 6.581
6.342 2.367 -1.773
3.597 1.696 3.533
3.360 3.977 -1.093
-1.874 6.742 -0.046
7.106 1.573 3.877
-0.399 4.750 2.362
1.872 4.338 4.924
5.631 3.565 1.468
3.195 7.087 -2.751
1.635 6.619 0.298
-1.110 5.947 5.603
3.823 0.676 0.299
5.246 6.725 0.276
-0.031 3.739 -1.087
-0.014 1.590 3.554
5.263 4.576 4.917
1.409 7.639 3.532
0.000 0.000 0.000
```

Properties
As for the density of states at the Fermi level: 27.82 states/eV per cell. The total moment comes out at 0.0 μB/cell. As for the crystal system: trigonal. The space group is R-3 (148). The volume is 678.9 Å³/f.u.

(B)
Density functional theory data (GGA-PBE) for a geometry-optimized Pr12SmEr6 structure.

Structure (POSCAR):
```
Pr12SmEr6
1.0
8.657 0.707 0.847
-0.614 8.664 0.847
-0.614 -0.715 8.676
Er Pr Sm
6 12 1
Cartesian
0.278 5.992 2.921
5.689 8.107 3.952
1.549 5.993 8.683
1.740 0.548 6.417
5.880 2.662 1.686
7.151 2.664 7.448
5.990 5.374 9.735
1.439 3.281 0.634
1.246 3.774 5.496
4.490 1.949 4.695
3.541 5.085 2.757
2.940 6.707 5.674
-0.181 1.428 3.342
3.025 0.281 2.002
6.183 4.882 4.873
3.888 3.570 7.612
4.404 8.375 8.367
7.610 7.227 7.027
0.000 0.000 0.000
```

Properties
As for the density of states at the Fermi level: 31.80 states/eV per cell. The total moment comes out at 0.0 μB/cell. As for the crystal system: trigonal. The space group is R-3 (148). The volume is 664.2 Å³/f.u.

What are the relative energies? In kJ/mol of atoms: (A) 10.4; (B) 0.0.

(A)
Density functional theory data (GGA-PBE) for a geometry-optimized Pr2Sm9Er structure.

Structure (POSCAR):
```
Pr2Sm9Er
1.0
-2.723 -4.352 0.023
3.585 -2.227 2.923
-7.405 4.700 12.660
Pr Sm Er
2 9 1
Cartesian
-2.457 1.560 4.201
-4.948 3.140 8.459
-5.064 0.174 6.342
0.579 -0.343 3.537
-4.399 2.816 12.047
-1.910 1.236 7.792
-7.553 1.753 10.596
0.431 -3.290 1.473
-2.575 -1.406 2.087
-2.025 -1.731 5.673
-4.518 -0.149 9.934
0.000 0.000 0.000
```

Properties
As for the density of states at the Fermi level: 19.26 states/eV per cell. The total moment comes out at 0.0 μB/cell. As for the crystal system: tetragonal. The space group is P4/mmm (123). The volume is 405.9 Å³/f.u.

(B)
Density functional theory data (GGA-PBE) for a geometry-optimized Pr2Sm9Er structure.

Structure (POSCAR):
```
Pr2Sm9Er
1.0
-2.107 -1.307 -2.527
5.479 -10.069 0.639
-9.169 1.977 6.621
Sm Pr Er
9 2 1
Cartesian
2.739 -5.035 0.320
-3.254 -1.700 1.113
-2.542 -7.699 3.621
-4.584 0.989 3.311
-0.747 -3.762 0.089
-7.715 -0.738 4.334
-5.049 -5.637 4.645
1.918 -8.661 0.400
-1.845 -4.046 3.630
0.596 -6.054 2.633
-4.286 -2.038 4.627
0.000 0.000 0.000
```

Properties
As for the density of states at the Fermi level: 16.23 states/eV per cell. The total moment comes out at 0.0 μB/cell. As for the crystal system: hexagonal. The space group is P6/mmm (191). The volume is 404.1 Å³/f.u.

What are the relative energies? In kJ/mol of atoms: (A) 0.0; (B) 3.6.

(A)
Density functional theory data (GGA-PBE) for a geometry-optimized Pr2Sm7Er structure.

Structure (POSCAR):
```
Pr2Sm7Er
1.0
-3.711 4.977 -1.025
-8.324 -2.732 3.964
8.823 3.065 2.298
Sm Pr Er
7 2 1
Cartesian
-1.761 5.714 1.950
5.397 1.919 2.633
-0.633 3.027 4.113
-1.452 -0.405 3.288
-8.610 3.390 2.605
-2.580 2.282 1.125
-6.017 1.123 1.470
0.836 3.424 0.812
-4.048 1.886 4.426
0.000 0.000 0.000
```

Properties
As for the density of states at the Fermi level: 15.19 states/eV per cell. The total moment comes out at 0.0 μB/cell. As for the crystal system: triclinic. The space group is P-1 (2). The volume is 339.1 Å³/f.u.

(B)
Density functional theory data (GGA-PBE) for a geometry-optimized Pr2Sm7Er structure.

Structure (POSCAR):
```
Pr2Sm7Er
1.0
3.498 0.000 0.000
0.000 14.247 -4.833
0.000 -10.741 10.535
Sm Er Pr
7 1 2
Cartesian
0.000 9.575 -1.959
1.749 0.215 5.810
1.749 3.292 -0.108
1.749 1.753 2.851
0.000 -6.068 7.661
1.749 5.088 2.813
1.749 -1.581 2.890
0.000 0.000 0.000
1.749 6.870 -0.295
1.749 -3.363 5.997
```

Properties
As for the density of states at the Fermi level: 15.68 states/eV per cell. The total moment comes out at 0.0 μB/cell. As for the crystal system: orthorhombic. The space group is Cmmm (65). The volume is 343.5 Å³/f.u.

What are the relative energies? In kJ/mol of atoms: (A) 0.0; (B) 12.8.

(A)
Density functional theory data (GGA-PBE) for a geometry-optimized PrSm12Er7 structure.

Structure (POSCAR):
```
PrSm12Er7
1.0
-4.645 -7.953 -1.659
6.586 0.894 -6.588
4.314 -0.875 8.259
Er Sm Pr
7 12 1
Cartesian
7.235 0.432 -3.254
-1.989 -6.840 -3.518
3.819 -4.598 -6.775
8.245 -1.094 3.529
-0.979 -8.367 3.266
3.128 -3.967 0.006
2.437 -3.336 6.786
1.506 -2.042 -2.785
2.760 -7.467 -1.315
-0.297 -3.457 1.467
4.971 -1.519 -1.696
0.324 -5.183 -1.711
5.932 -2.752 1.723
3.495 -0.467 1.327
4.749 -5.893 2.797
6.553 -4.477 -1.456
2.633 -3.354 3.422
1.285 -6.416 1.708
3.622 -4.580 -3.410
0.000 0.000 0.000
```

Properties
As for the density of states at the Fermi level: 35.32 states/eV per cell. The total moment comes out at 0.0 μB/cell. As for the crystal system: trigonal. The space group is R-3 (148). The volume is 667.1 Å³/f.u.

(B)
Density functional theory data (GGA-PBE) for a geometry-optimized PrSm12Er7 structure.

Structure (POSCAR):
```
PrSm12Er7
1.0
9.372 0.000 -3.314
-4.686 8.117 -3.314
0.000 0.000 9.941
Sm Er Pr
12 7 1
Cartesian
2.288 8.104 -3.235
1.085 6.046 3.303
2.399 0.013 6.549
-1.092 6.033 6.617
3.601 2.071 0.010
1.188 2.083 3.392
0.007 4.154 -0.010
3.498 6.033 -0.078
8.162 2.071 3.235
-3.476 6.046 0.078
5.778 2.083 -3.303
4.679 3.962 3.324
4.686 0.000 3.314
2.343 4.058 -3.314
4.686 0.000 -1.657
2.343 4.058 1.657
0.000 0.000 4.970
-2.343 4.058 -1.657
-2.343 4.058 3.314
0.000 0.000 0.000
```

Properties
As for the density of states at the Fermi level: 27.09 states/eV per cell. The total moment comes out at 0.0 μB/cell. As for the crystal system: cubic. The space group is Im-3 (204). The volume is 756.2 Å³/f.u.

What are the relative energies? In kJ/mol of atoms: (A) 0.0; (B) 50.3.

(A)
Density functional theory data (GGA-PBE) for a geometry-optimized Pr3SmEr4 structure.

Structure (POSCAR):
```
Pr3SmEr4
1.0
3.360 0.000 0.870
1.169 8.570 2.408
-0.514 -1.028 8.904
Er Sm Pr
4 1 3
Cartesian
1.217 2.362 9.142
2.068 7.214 5.858
2.797 5.180 3.041
1.946 0.328 6.325
1.680 0.000 0.435
2.703 1.830 3.405
1.311 5.712 8.778
0.327 3.771 5.656
```

Properties
As for the density of states at the Fermi level: 12.98 states/eV per cell. The total moment comes out at 0.0 μB/cell. As for the crystal system: orthorhombic. The space group is Immm (71). The volume is 267.5 Å³/f.u.

(B)
Density functional theory data (GGA-PBE) for a geometry-optimized Pr3SmEr4 structure.

Structure (POSCAR):
```
Pr3SmEr4
1.0
6.296 0.000 0.000
0.000 7.330 0.000
0.000 0.000 11.552
Pr Er Sm
6 8 2
Cartesian
4.061 4.606 0.000
6.192 4.606 8.671
6.192 4.606 2.881
3.044 2.724 8.657
3.044 2.724 2.895
0.912 2.724 5.776
3.028 6.453 2.896
6.176 0.877 8.672
3.028 6.453 8.656
6.176 0.877 2.880
0.926 6.453 0.000
4.084 0.880 0.000
4.074 0.877 5.776
0.935 6.449 5.776
0.918 2.708 0.000
4.067 4.622 5.776
```

Properties
As for the density of states at the Fermi level: 29.45 states/eV per cell. The total moment comes out at 0.0 μB/cell. As for the crystal system: orthorhombic. The space group is Pmn2_1 (31). The volume is 266.6 Å³/f.u.

What are the relative energies? In kJ/mol of atoms: (A) 10.6; (B) 0.0.

(A)
Density functional theory data (GGA-PBE) for a geometry-optimized Pr3SmEr2 structure.

Structure (POSCAR):
```
Pr3SmEr2
1.0
-0.761 0.752 5.553
5.183 -7.266 1.694
4.880 7.654 -0.368
Sm Pr Er
2 6 4
Cartesian
6.617 1.031 6.486
2.315 0.475 3.092
5.674 -2.888 6.887
5.516 4.871 5.815
8.771 0.723 3.943
3.258 4.393 2.690
3.415 -3.366 3.763
0.161 0.782 5.635
5.646 -0.977 3.745
3.286 2.483 5.833
5.582 2.180 3.309
3.350 -0.675 6.269
```

Properties
As for the density of states at the Fermi level: 18.32 states/eV per cell. The total moment comes out at 0.0 μB/cell. As for the crystal system: orthorhombic. The space group is Cmcm (63). The volume is 216.3 Å³/f.u.

(B)
Density functional theory data (GGA-PBE) for a geometry-optimized Pr3SmEr2 structure.

Structure (POSCAR):
```
Pr3SmEr2
1.0
-5.953 2.467 -0.916
-2.916 -9.297 -6.097
2.602 0.799 8.371
Er Pr Sm
4 6 2
Cartesian
-5.916 -3.437 -2.764
-5.162 1.504 0.176
-0.351 -2.594 4.123
-1.105 -7.534 1.183
-2.085 -6.647 -4.359
-3.603 -0.765 -1.769
-5.265 -6.064 -5.244
-0.157 -4.249 1.137
-0.831 -2.649 -1.737
1.301 0.399 4.186
-3.615 -5.442 -0.806
-2.652 -0.588 2.166
```

Properties
As for the density of states at the Fermi level: 18.96 states/eV per cell. The total moment comes out at 0.0 μB/cell. As for the crystal system: orthorhombic. The space group is Imma (74). The volume is 217.7 Å³/f.u.

What are the relative energies? In kJ/mol of atoms: (A) 0.0; (B) 2.0.